Here is a relaxed ZrRhPb3 crystal from Alexandria. Energies are from PBE.

## Properties
Total magnetic moment in Bohr magnetons per cell: 1.117
E above lowest polymorph in eV per atom: 0.000
Formation energy from the elements in kJ/mol of formula units: 260.4
Space group: Pm-3m

```
5
Lattice="5.2402 0.0000 0.0000 0.0000 5.2402 0.0000 0.0000 0.0000 5.2402" Properties=species:S:1:pos:R:3 pbc="T T T"
Zr 0.0000 0.0000 0.0000
Rh 2.6201 2.6201 2.6201
Pb 0.0000 2.6201 2.6201
Pb 2.6201 0.0000 2.6201
Pb 2.6201 2.6201 0.0000
```